! Ba2OsPb | Alexandria | GGA-PBE | relaxed; values from VASP
! **DFT formation energy**: 0.9 eV/f.u.
! **D(E_F)**: 2.74 states/eV per cell
! **Magnetic moment**: 0.00 μB per formula unit
! **SG**: Cm, No. 8
&SYSTEM
  ibrav = 0, nat = 4, ntyp = 3
/
ATOMIC_SPECIES
Ba 137.33 Ba.upf
Os 190.23 Os.upf
Pb 207.20 Pb.upf
ATOMIC_POSITIONS crystal
Ba 0.795 0.795 0.621
Ba 0.955 0.955 0.129
Os 0.541 0.541 0.375
Pb 0.208 0.208 0.375
CELL_PARAMETERS angstrom
4.781 -0.067 0.016
2.454 4.103 0.016
2.321 1.295 8.647

! BaOs2Pb | Alexandria | GGA-PBE | relaxed; values from VASP
! **DFT formation energy**: 6.0 eV/f.u.
! **D(E_F)**: 5.48 states/eV per cell
! **Magnetic moment**: 0.46 μB per formula unit
! **SG**: Pmmm, No. 47
&SYSTEM
  ibrav = 0, nat = 4, ntyp = 3
/
ATOMIC_SPECIES
Os 190.23 Os.upf
Ba 137.33 Ba.upf
Pb 207.20 Pb.upf
ATOMIC_POSITIONS crystal
Os 0.500 0.500 0.000
Os 0.000 0.000 0.000
Ba 0.000 0.500 0.500
Pb 0.500 0.000 0.500
CELL_PARAMETERS angstrom
3.367 0.000 0.000
0.000 5.494 0.000
0.000 0.000 4.797

! BaOsPb2 | Alexandria | GGA-PBE | relaxed; values from VASP
! **DFT formation energy**: 2.8 eV/f.u.
! **D(E_F)**: 4.79 states/eV per cell
! **Magnetic moment**: 0.25 μB per formula unit
! **SG**: P4/mmm, No. 123
&SYSTEM
  ibrav = 0, nat = 4, ntyp = 3
/
ATOMIC_SPECIES
Pb 207.20 Pb.upf
Ba 137.33 Ba.upf
Os 190.23 Os.upf
ATOMIC_POSITIONS crystal
Pb 0.500 0.500 0.000
Pb 0.000 0.000 0.000
Ba 0.500 0.000 0.500
Os 0.000 0.500 0.500
CELL_PARAMETERS angstrom
-3.012 2.861 -2.200
0.683 -2.363 -4.009
-3.778 -3.078 1.171

! BaOs2Pb | Alexandria | GGA-PBE | relaxed; values from VASP
! **DFT formation energy**: 5.6 eV/f.u.
! **D(E_F)**: 7.02 states/eV per cell
! **Magnetic moment**: 1.12 μB per formula unit
! **SG**: P4/mmm, No. 123
&SYSTEM
  ibrav = 0, nat = 4, ntyp = 3
/
ATOMIC_SPECIES
Os 190.23 Os.upf
Pb 207.20 Pb.upf
Ba 137.33 Ba.upf
ATOMIC_POSITIONS crystal
Os 0.000 0.500 0.500
Os 0.000 0.000 0.000
Pb 0.500 0.500 0.000
Ba 0.500 0.000 0.500
CELL_PARAMETERS angstrom
4.100 0.000 0.000
0.000 4.628 0.000
0.000 0.000 4.628

! BaOsPb2 | Alexandria | GGA-PBE | relaxed; values from VASP
! **DFT formation energy**: 3.3 eV/f.u.
! **D(E_F)**: 3.63 states/eV per cell
! **Magnetic moment**: 0.94 μB per formula unit
! **SG**: C2/m, No. 12
&SYSTEM
  ibrav = 0, nat = 4, ntyp = 3
/
ATOMIC_SPECIES
Ba 137.33 Ba.upf
Pb 207.20 Pb.upf
Os 190.23 Os.upf
ATOMIC_POSITIONS crystal
Ba 0.000 0.500 0.500
Pb 0.500 0.000 0.500
Pb 0.000 0.000 0.000
Os 0.500 0.500 0.000
CELL_PARAMETERS angstrom
6.569 0.076 0.263
-2.875 5.548 -0.110
0.819 0.883 3.036

! BaOs2Pb | Alexandria | GGA-PBE | relaxed; values from VASP
! **DFT formation energy**: 2.2 eV/f.u.
! **D(E_F)**: 1.73 states/eV per cell
! **Magnetic moment**: 0.00 μB per formula unit
! **SG**: P4mm, No. 99
&SYSTEM
  ibrav = 0, nat = 4, ntyp = 3
/
ATOMIC_SPECIES
Pb 207.20 Pb.upf
Ba 137.33 Ba.upf
Os 190.23 Os.upf
ATOMIC_POSITIONS crystal
Pb 0.000 0.000 0.439
Ba 0.500 0.500 0.788
Os 0.500 0.500 0.214
Os 0.000 0.000 0.059
CELL_PARAMETERS angstrom
-1.246 -2.255 -1.798
2.807 -0.500 -1.319
1.927 -6.216 6.460

! BaOsPb2 | Alexandria | GGA-PBE | relaxed; values from VASP
! **DFT formation energy**: 2.1 eV/f.u.
! **D(E_F)**: 4.52 states/eV per cell
! **Magnetic moment**: 0.00 μB per formula unit
! **SG**: Amm2, No. 38
&SYSTEM
  ibrav = 0, nat = 4, ntyp = 3
/
ATOMIC_SPECIES
Pb 207.20 Pb.upf
Os 190.23 Os.upf
Ba 137.33 Ba.upf
ATOMIC_POSITIONS crystal
Pb 0.500 0.238 0.149
Pb 0.000 0.818 0.990
Os 0.500 0.901 0.822
Ba 0.000 0.543 0.539
CELL_PARAMETERS angstrom
-4.159 2.343 -1.324
0.941 -0.398 -3.659
-2.750 -6.025 -2.020

! Ba2OsPb | Alexandria | GGA-PBE | relaxed; values from VASP
! **DFT formation energy**: 1.7 eV/f.u.
! **D(E_F)**: 5.60 states/eV per cell
! **Magnetic moment**: 0.02 μB per formula unit
! **SG**: P4/mmm, No. 123
&SYSTEM
  ibrav = 0, nat = 4, ntyp = 3
/
ATOMIC_SPECIES
Ba 137.33 Ba.upf
Os 190.23 Os.upf
Pb 207.20 Pb.upf
ATOMIC_POSITIONS crystal
Ba 0.000 0.000 0.050
Ba 0.000 0.000 0.450
Os 0.500 0.500 0.250
Pb 0.500 0.500 0.750
CELL_PARAMETERS angstrom
-0.564 2.622 -2.398
-3.291 -1.302 -0.650
-3.721 5.801 7.219